# Ca2LaTm | Alexandria | PBE | relaxed
# ΔE_f in kJ/mol of formula units: 46
# Space group: C2/m (12)
# Density of states at the Fermi level in states/eV/f.u.: 7.3
# Magnetic moment in μB/atom: 0.000
# Energy above the most stable polymorph in this dataset in eV per formula unit: 0.02
data_Ca2LaTm
_chemical_formula_sum 'Ca2 La1 Tm1'
_symmetry_space_group_name_H-M 'P 1'
_symmetry_Int_Tables_number 1
_cell_length_a 3.7217
_cell_length_b 6.3869
_cell_length_c 9.8801
_cell_angle_alpha 57.63
_cell_angle_beta 124.42
_cell_angle_gamma 90.05
loop_
_symmetry_equiv_pos_as_xyz
'x,y,z'
loop_
_atom_site_label
_atom_site_type_symbol
_atom_site_fract_x
_atom_site_fract_y
_atom_site_fract_z
Ca1 Ca 0.0433 0.9816 0.6800
Ca2 Ca 0.5568 0.4819 0.6894
La1 La 0.2998 0.7311 0.1848
Tm1 Tm 0.7991 0.2314 0.1846

***

# CaLaTm | Alexandria | PBE | relaxed
# ΔE_f in kJ/mol of formula units: 19
# Space group: I4mm (107)
# Density of states at the Fermi level in states/eV/f.u.: 4.8
# Magnetic moment in μB/atom: 0.000
# Energy above the most stable polymorph in this dataset in eV per formula unit: 0.01
data_CaLaTm
_chemical_formula_sum 'Ca1 La1 Tm1'
_symmetry_space_group_name_H-M 'P 1'
_symmetry_Int_Tables_number 1
_cell_length_a 3.7172
_cell_length_b 3.7172
_cell_length_c 8.2599
_cell_angle_alpha 103.00
_cell_angle_beta 103.00
_cell_angle_gamma 90.00
loop_
_symmetry_equiv_pos_as_xyz
'x,y,z'
loop_
_atom_site_label
_atom_site_type_symbol
_atom_site_fract_x
_atom_site_fract_y
_atom_site_fract_z
Ca1 Ca 0.0045 0.0045 0.0090
Tm1 Tm 0.6735 0.6735 0.3470
La1 La 0.3220 0.3220 0.6440

***

# CaLa9Tm2 | Alexandria | PBE | relaxed
# ΔE_f in kJ/mol of formula units: 25
# Space group: P4/mmm (123)
# Density of states at the Fermi level in states/eV/f.u.: 14.5
# Magnetic moment in μB/atom: 0.000
data_CaLa9Tm2
_chemical_formula_sum 'Ca1 La9 Tm2'
_symmetry_space_group_name_H-M 'P 1'
_symmetry_Int_Tables_number 1
_cell_length_a 5.2304
_cell_length_b 5.2304
_cell_length_c 15.7253
_cell_angle_alpha 90.00
_cell_angle_beta 90.00
_cell_angle_gamma 90.00
loop_
_symmetry_equiv_pos_as_xyz
'x,y,z'
loop_
_atom_site_label
_atom_site_type_symbol
_atom_site_fract_x
_atom_site_fract_y
_atom_site_fract_z
Ca1 Ca 0.0000 0.0000 0.0000
La1 La 0.5000 0.5000 0.0000
La2 La 0.5000 0.5000 0.3359
La3 La 0.5000 0.5000 0.6641
La4 La 0.5000 0.0000 0.1732
La5 La 0.5000 0.0000 0.5000
La6 La 0.5000 0.0000 0.8268
La7 La 0.0000 0.5000 0.1732
La8 La 0.0000 0.5000 0.5000
La9 La 0.0000 0.5000 0.8268
Tm1 Tm 0.0000 0.0000 0.3348
Tm2 Tm 0.0000 0.0000 0.6652

***

# CaLa6Tm2 | Alexandria | PBE | relaxed
# ΔE_f in kJ/mol of formula units: 399
# Space group: P-31m (162)
# Density of states at the Fermi level in states/eV/f.u.: 13.4
# Magnetic moment in μB/atom: 0.001
data_CaLa6Tm2
_chemical_formula_sum 'Ca1 La6 Tm2'
_symmetry_space_group_name_H-M 'P 1'
_symmetry_Int_Tables_number 1
_cell_length_a 6.1720
_cell_length_b 6.1720
_cell_length_c 11.8255
_cell_angle_alpha 90.00
_cell_angle_beta 90.00
_cell_angle_gamma 120.00
loop_
_symmetry_equiv_pos_as_xyz
'x,y,z'
loop_
_atom_site_label
_atom_site_type_symbol
_atom_site_fract_x
_atom_site_fract_y
_atom_site_fract_z
Ca1 Ca 0.0000 0.0000 0.0000
La1 La 0.3157 0.3157 0.7268
La2 La 0.6843 0.0000 0.7268
La3 La 0.0000 0.6843 0.7268
La4 La 0.3157 0.0000 0.2732
La5 La 0.0000 0.3157 0.2732
La6 La 0.6843 0.6843 0.2732
Tm1 Tm 0.6667 0.3333 0.5000
Tm2 Tm 0.3333 0.6667 0.5000

***

# Ca2LaTm | Alexandria | PBE | relaxed
# ΔE_f in kJ/mol of formula units: 64
# Space group: P4/mmm (123)
# Density of states at the Fermi level in states/eV/f.u.: 7.9
# Magnetic moment in μB/atom: 0.005
# Energy above the most stable polymorph in this dataset in eV per formula unit: 0.21
data_Ca2LaTm
_chemical_formula_sum 'Ca2 La1 Tm1'
_symmetry_space_group_name_H-M 'P 1'
_symmetry_Int_Tables_number 1
_cell_length_a 5.6774
_cell_length_b 5.1074
_cell_length_c 5.1074
_cell_angle_alpha 90.00
_cell_angle_beta 90.00
_cell_angle_gamma 90.00
loop_
_symmetry_equiv_pos_as_xyz
'x,y,z'
loop_
_atom_site_label
_atom_site_type_symbol
_atom_site_fract_x
_atom_site_fract_y
_atom_site_fract_z
Ca1 Ca 0.0000 0.0000 0.5000
Ca2 Ca 0.0000 0.5000 0.0000
Tm1 Tm 0.5000 0.5000 0.5000
La1 La 0.5000 0.0000 0.0000

***

# CaLa12Tm6 | Alexandria | PBE | relaxed
# ΔE_f in kJ/mol of formula units: 523
# Space group: R-3m (166)
# Density of states at the Fermi level in states/eV/f.u.: 25.0
# Magnetic moment in μB/atom: 0.000
data_CaLa12Tm6
_chemical_formula_sum 'Ca1 La12 Tm6'
_symmetry_space_group_name_H-M 'P 1'
_symmetry_Int_Tables_number 1
_cell_length_a 9.8981
_cell_length_b 9.8981
_cell_length_c 9.8981
_cell_angle_alpha 111.74
_cell_angle_beta 111.74
_cell_angle_gamma 111.74
loop_
_symmetry_equiv_pos_as_xyz
'x,y,z'
loop_
_atom_site_label
_atom_site_type_symbol
_atom_site_fract_x
_atom_site_fract_y
_atom_site_fract_z
Ca1 Ca 0.0000 0.0000 0.0000
La1 La 0.8763 0.1237 0.5000
La2 La 0.2874 0.9305 0.2874
La3 La 0.2874 0.2874 0.9305
La4 La 0.0695 0.7126 0.7126
La5 La 0.7126 0.7126 0.0695
La6 La 0.7126 0.0695 0.7126
La7 La 0.5000 0.8763 0.1237
La8 La 0.1237 0.5000 0.8763
La9 La 0.1237 0.8763 0.5000
La10 La 0.5000 0.1237 0.8763
La11 La 0.8763 0.5000 0.1237
La12 La 0.9305 0.2874 0.2874
Tm1 Tm 0.7164 0.4554 0.7164
Tm2 Tm 0.7164 0.7164 0.4554
Tm3 Tm 0.4554 0.7164 0.7164
Tm4 Tm 0.2836 0.2836 0.5446
Tm5 Tm 0.2836 0.5446 0.2836
Tm6 Tm 0.5446 0.2836 0.2836

***

# CaLa2Tm | Alexandria | PBE | relaxed
# ΔE_f in kJ/mol of formula units: 13
# Space group: R-3m (166)
# Density of states at the Fermi level in states/eV/f.u.: 5.2
# Magnetic moment in μB/atom: 0.000
# Energy above the most stable polymorph in this dataset in eV per formula unit: 0.00
data_CaLa2Tm
_chemical_formula_sum 'Ca1 La2 Tm1'
_symmetry_space_group_name_H-M 'P 1'
_symmetry_Int_Tables_number 1
_cell_length_a 3.6857
_cell_length_b 3.6857
_cell_length_c 12.4457
_cell_angle_alpha 81.48
_cell_angle_beta 81.48
_cell_angle_gamma 60.00
loop_
_symmetry_equiv_pos_as_xyz
'x,y,z'
loop_
_atom_site_label
_atom_site_type_symbol
_atom_site_fract_x
_atom_site_fract_y
_atom_site_fract_z
Ca1 Ca 0.5000 0.5000 0.5000
Tm1 Tm 0.0000 0.0000 0.0000
La1 La 0.7446 0.7446 0.7661
La2 La 0.2554 0.2554 0.2339

***

# CaLa15Tm4 | Alexandria | PBE | relaxed
# ΔE_f in kJ/mol of formula units: 29
# Space group: P4/mmm (123)
# Density of states at the Fermi level in states/eV/f.u.: 24.2
# Magnetic moment in μB/atom: 0.000
data_CaLa15Tm4
_chemical_formula_sum 'Ca1 La15 Tm4'
_symmetry_space_group_name_H-M 'P 1'
_symmetry_Int_Tables_number 1
_cell_length_a 5.2153
_cell_length_b 5.2153
_cell_length_c 26.1371
_cell_angle_alpha 90.00
_cell_angle_beta 90.00
_cell_angle_gamma 90.00
loop_
_symmetry_equiv_pos_as_xyz
'x,y,z'
loop_
_atom_site_label
_atom_site_type_symbol
_atom_site_fract_x
_atom_site_fract_y
_atom_site_fract_z
Ca1 Ca 0.0000 0.0000 0.0000
La1 La 0.5000 0.5000 0.0000
La2 La 0.5000 0.5000 0.2021
La3 La 0.5000 0.5000 0.4003
La4 La 0.5000 0.5000 0.5997
La5 La 0.5000 0.5000 0.7979
La6 La 0.5000 0.0000 0.1046
La7 La 0.5000 0.0000 0.3017
La8 La 0.5000 0.0000 0.5000
La9 La 0.5000 0.0000 0.6983
La10 La 0.5000 0.0000 0.8954
La11 La 0.0000 0.5000 0.1046
La12 La 0.0000 0.5000 0.3017
La13 La 0.0000 0.5000 0.5000
La14 La 0.0000 0.5000 0.6983
La15 La 0.0000 0.5000 0.8954
Tm1 Tm 0.0000 0.0000 0.2019
Tm2 Tm 0.0000 0.0000 0.4009
Tm3 Tm 0.0000 0.0000 0.5991
Tm4 Tm 0.0000 0.0000 0.7981

***

# CaLa14Tm | Alexandria | PBE | relaxed
# ΔE_f in kJ/mol of formula units: 27
# Space group: Cmmm (65)
# Density of states at the Fermi level in states/eV/f.u.: 25.1
# Magnetic moment in μB/atom: 0.000
data_CaLa14Tm
_chemical_formula_sum 'Ca1 La14 Tm1'
_symmetry_space_group_name_H-M 'P 1'
_symmetry_Int_Tables_number 1
_cell_length_a 7.4558
_cell_length_b 7.4558
_cell_length_c 10.5154
_cell_angle_alpha 90.00
_cell_angle_beta 90.00
_cell_angle_gamma 89.94
loop_
_symmetry_equiv_pos_as_xyz
'x,y,z'
loop_
_atom_site_label
_atom_site_type_symbol
_atom_site_fract_x
_atom_site_fract_y
_atom_site_fract_z
Ca1 Ca 0.8749 0.1251 0.0000
La1 La 0.3749 0.6251 0.5000
La2 La 0.8751 0.1249 0.5000
La3 La 0.8750 0.6251 0.0000
La4 La 0.8750 0.6249 0.5000
La5 La 0.3749 0.1250 0.0000
La6 La 0.3751 0.1250 0.5000
La7 La 0.6184 0.8684 0.7476
La8 La 0.6184 0.8684 0.2524
La9 La 0.1316 0.3816 0.7476
La10 La 0.1316 0.3816 0.2524
La11 La 0.1316 0.8684 0.7476
La12 La 0.1316 0.8684 0.2524
La13 La 0.6184 0.3816 0.7475
La14 La 0.6184 0.3816 0.2525
Tm1 Tm 0.3751 0.6249 0.0000

***

# Ca2LaTm | Alexandria | PBE | relaxed
# ΔE_f in kJ/mol of formula units: 62
# Space group: P4/mmm (123)
# Density of states at the Fermi level in states/eV/f.u.: 5.6
# Magnetic moment in μB/atom: 0.000
# Energy above the most stable polymorph in this dataset in eV per formula unit: 0.19
data_Ca2LaTm
_chemical_formula_sum 'Ca2 La1 Tm1'
_symmetry_space_group_name_H-M 'P 1'
_symmetry_Int_Tables_number 1
_cell_length_a 4.1729
_cell_length_b 4.1729
_cell_length_c 8.4643
_cell_angle_alpha 90.00
_cell_angle_beta 90.00
_cell_angle_gamma 90.00
loop_
_symmetry_equiv_pos_as_xyz
'x,y,z'
loop_
_atom_site_label
_atom_site_type_symbol
_atom_site_fract_x
_atom_site_fract_y
_atom_site_fract_z
Ca1 Ca 0.0000 0.0000 0.7633
Ca2 Ca 0.0000 0.0000 0.2367
Tm1 Tm 0.5000 0.5000 0.0000
La1 La 0.5000 0.5000 0.5000

***

# CaLa2Tm | Alexandria | PBE | relaxed
# ΔE_f in kJ/mol of formula units: 28
# Space group: P4/mmm (123)
# Density of states at the Fermi level in states/eV/f.u.: 5.4
# Magnetic moment in μB/atom: 0.000
# Energy above the most stable polymorph in this dataset in eV per formula unit: 0.15
data_CaLa2Tm
_chemical_formula_sum 'Ca1 La2 Tm1'
_symmetry_space_group_name_H-M 'P 1'
_symmetry_Int_Tables_number 1
_cell_length_a 4.1575
_cell_length_b 4.1575
_cell_length_c 8.6253
_cell_angle_alpha 90.00
_cell_angle_beta 90.00
_cell_angle_gamma 90.00
loop_
_symmetry_equiv_pos_as_xyz
'x,y,z'
loop_
_atom_site_label
_atom_site_type_symbol
_atom_site_fract_x
_atom_site_fract_y
_atom_site_fract_z
Ca1 Ca 0.5000 0.5000 0.5000
Tm1 Tm 0.5000 0.5000 0.0000
La1 La 0.0000 0.0000 0.7750
La2 La 0.0000 0.0000 0.2250

***

# CaLaTm | Alexandria | PBE | relaxed
# ΔE_f in kJ/mol of formula units: 27
# Space group: P-3m1 (164)
# Density of states at the Fermi level in states/eV/f.u.: 4.5
# Magnetic moment in μB/atom: 0.000
# Energy above the most stable polymorph in this dataset in eV per formula unit: 0.10
data_CaLaTm
_chemical_formula_sum 'Ca2 La2 Tm2'
_symmetry_space_group_name_H-M 'P 1'
_symmetry_Int_Tables_number 1
_cell_length_a 5.8409
_cell_length_b 5.8409
_cell_length_c 7.2000
_cell_angle_alpha 90.00
_cell_angle_beta 90.00
_cell_angle_gamma 60.00
loop_
_symmetry_equiv_pos_as_xyz
'x,y,z'
loop_
_atom_site_label
_atom_site_type_symbol
_atom_site_fract_x
_atom_site_fract_y
_atom_site_fract_z
Ca1 Ca 0.6287 0.9786 0.7888
Ca2 Ca 0.9621 0.3119 0.7928
La1 La 0.2954 0.6453 0.5137
La2 La 0.2954 0.6453 0.0678
Tm1 Tm 0.6287 0.9786 0.2894
Tm2 Tm 0.9621 0.3119 0.2922